Record 1
Here is a relaxed structure of Tc4Ge2B from the Alexandria database. Energies are from PBE-GGA.

Summary:
* space-group type: P2/m

Lattice parameters (Å, degrees): 5.1932 3.0384 6.6013 90.00 110.16 90.00
Closest atoms and distances in Å follow each position.
Sites, in units of the cell vectors:
Tc (0.1073, 0.0000, 0.2544)  1 B 2.12
Tc (0.2908, 0.5000, 0.6217)  2 B 2.18
Tc (0.7092, 0.5000, 0.3783)  2 B 2.18
Tc (0.8927, 0.0000, 0.7456)  1 B 2.12
Ge (0.2679, 0.5000, 0.0089)  2 Ge 2.45-2.74, 6 Tc 2.56-2.71
Ge (0.7321, 0.5000, 0.9911)  2 Ge 2.45-2.74, 6 Tc 2.56-2.71
B (0.5000, 0.0000, 0.5000)  6 Tc 2.12-2.18


Record 2
Here is a relaxed structure of Tc2GeB from the Alexandria database. Energies are from PBE-GGA.

Summary:
* space-group type: Fm-3m
* energy relative to the lowest polymorph listed for this composition: 135 meV per atom

Lattice parameters (Å, degrees): 4.1312 4.1312 4.1312 60.00 60.00 60.00
Closest atoms and distances in Å follow each position.
Sites, in units of the cell vectors:
Tc (0.2500, 0.2500, 0.2500)  4 Ge 2.53, 4 B 2.53
Tc (0.7500, 0.7500, 0.7500)  4 Ge 2.53, 4 B 2.53
Ge (0.0000, 0.0000, 0.0000)  8 Tc 2.53
B (0.5000, 0.5000, 0.5000)  8 Tc 2.53


no.,calculated formation energy (eV/atom)
1,-0.062
2,0.274